This record from Alexandria via LeMat-Bulk describes a relaxed structure of ZnAs2Os. The functional is PBE.

Cell: 6.3071 6.3071 6.3071 Å, 152.86 139.61 49.34°
With the nearest neighbours (Å) after each atom.
Fractional positions:
Zn1 0.0000 0.0000 0.0000  4 Os 2.63
As1 0.3221 0.8221 0.5000  2 Os 2.52
As2 0.6779 0.1779 0.5000  2 Os 2.52
Os1 0.5000 0.5000 0.0000  4 As 2.52, 4 Zn 2.63

Symmetry ... Immm, No. 71
Calculated total energy ... -5.284 eV/atom
Formation energy ... 0.17 eV per atom
Calculated density ... 9.12 g/cm3
Volume ... 18.5 Å³ per atom

***

This record from Alexandria via LeMat-Bulk describes a relaxed structure of ZnAsOs2. The functional is PBE.

Cell: 4.3969 4.3969 4.3969 Å, 60.00 60.00 60.00°
With the nearest neighbours (Å) after each atom.
Fractional positions:
Zn1 0.0000 0.0000 0.0000  4 As 2.69, 4 Os 2.69
As1 0.2500 0.2500 0.2500  4 Os 2.69, 4 Zn 2.69
Os1 0.5000 0.5000 0.5000  4 Os 2.69, 4 As 2.69
Os2 0.7500 0.7500 0.7500  4 Os 2.69, 4 Zn 2.69

Polymorph energy (0 for the lowest one) ... 347.8 meV per atom
Symmetry ... F-43m, No. 216
Calculated total energy ... -6.524 eV/atom
Formation energy ... 0.57 eV per atom
Calculated density ... 14.39 g/cm3
Volume ... 15.0 Å³ per atom

***

This record from Alexandria via LeMat-Bulk describes a relaxed structure of Zn2AsOs. The functional is PBE.

Cell: 3.2163 3.9689 5.2044 Å, 90.00 107.46 90.00°
With the nearest neighbours (Å) after each atom.
Fractional positions:
Zn1 0.0000 0.0000 0.0000  3 Os 2.61-2.86, 4 As 2.73
Zn2 0.3273 0.5000 0.6707  3 As 2.61-2.85, 4 Os 2.73-2.74
As1 0.5956 0.5000 0.1962  2 Os 2.42, 1 Zn 2.61
Os1 0.7334 0.0000 0.4738  2 As 2.42, 1 Zn 2.61

Symmetry ... Pm, No. 6
Calculated total energy ... -4.407 eV/atom
Formation energy ... 0.20 eV per atom
Calculated density ... 10.38 g/cm3
Volume ... 15.8 Å³ per atom

***

This record from Alexandria via LeMat-Bulk describes a relaxed structure of Zn2AsOs. The functional is PBE.

Cell: 2.8194 2.8194 9.8753 Å, 90.00 90.00 119.72°
With the nearest neighbours (Å) after each atom.
Fractional positions:
Zn1 0.0000 0.0000 0.0000  2 Os 2.63, 8 Zn 2.73-2.83
Zn2 0.5000 0.5000 0.2361  8 Zn 2.73-2.83
As1 0.0000 0.0000 0.5661  2 Os 2.50
Os1 0.5000 0.5000 0.7753  2 As 2.50, 2 Zn 2.63

Symmetry ... Cmm2, No. 35
Calculated total energy ... -4.291 eV/atom
Formation energy ... 0.32 eV per atom
Calculated density ... 9.64 g/cm3
Volume ... 17.0 Å³ per atom

***

This record from Alexandria via LeMat-Bulk describes a relaxed structure of Zn2As2Os. The functional is PBE.

Cell: 6.2615 6.2615 4.4989 Å, 90.00 90.00 90.00°
With the nearest neighbours (Å) after each atom.
Fractional positions:
Zn1 0.1767 0.3233 0.0000  6 As 2.77-3.01
Zn2 0.3233 0.8233 0.0000  6 As 2.77-3.01
Zn3 0.6767 0.1767 0.0000  6 As 2.77-3.01
Zn4 0.8233 0.6767 0.0000  6 As 2.77-3.01
As1 0.1412 0.6412 0.5000  2 Os 2.41, 1 As 2.50
As2 0.3588 0.1412 0.5000  2 Os 2.41, 1 As 2.50
As3 0.6412 0.8588 0.5000  2 Os 2.41, 1 As 2.50
As4 0.8588 0.3588 0.5000  2 Os 2.41, 1 As 2.50
Os1 0.0000 0.0000 0.5000  4 As 2.41
Os2 0.5000 0.5000 0.5000  4 As 2.41

Symmetry ... P4/mbm, No. 127
Calculated total energy ... -4.331 eV/atom
Formation energy ... 0.28 eV per atom
Calculated density ... 8.87 g/cm3
Volume ... 17.6 Å³ per atom

***

This record from Alexandria via LeMat-Bulk describes a relaxed structure of ZnAsOs2. The functional is PBE.

Cell: 4.3524 4.3524 5.0149 Å, 99.53 99.53 38.94°
With the nearest neighbours (Å) after each atom.
Fractional positions:
Zn1 0.0000 0.0000 0.0000  6 Os 2.58-2.71
As1 0.5000 0.5000 0.5000  6 Os 2.58-2.59
Os1 0.2428 0.2428 0.7356  3 As 2.58-2.59, 3 Zn 2.58-2.71, 2 Os 2.79
Os2 0.7572 0.7572 0.2644  3 As 2.58-2.59, 3 Zn 2.58-2.71, 2 Os 2.79

Polymorph energy (0 for the lowest one) ... 158.1 meV per atom
Symmetry ... C2/m, No. 12
Calculated total energy ... -6.714 eV/atom
Formation energy ... 0.38 eV per atom
Calculated density ... 14.71 g/cm3
Volume ... 14.7 Å³ per atom

***

> The highest formation energy belongs to which entry?

number 2